[1]
Material: Hf2AgMo
Method: DFT, meta-GGA SCAN
State: single point on PBEsol structure

Computed properties:
total magnetization = 0.000 μB/f.u.
theoretical density = 12.89 g cm⁻³
E_form = -0.093 eV per atom
VASP energy = -191.97 eV per formula unit

Lattice parameters (Å, degrees): 6.611 6.611 6.611 90.00 90.00 90.00
Space group Fm-3m (No. 225)
Asymmetric unit:
Hf: 0.250 0.250 0.250 (multiplicity 8)
Ag: 0.000 0.000 0.000 (multiplicity 4)
Mo: 0.000 0.000 0.500 (multiplicity 4)

[2]
Material: Hf2AgMoPb
Method: DFT, meta-GGA SCAN
State: single point on PBEsol structure

Computed properties:
total magnetization = 0.002 μB/f.u.
theoretical density = 9.45 g cm⁻³
E_form = 1.828 eV per atom
VASP energy = -258.24 eV per formula unit

Lattice parameters (Å, degrees): 5.221 5.221 4.953 90.00 90.00 90.00
Space group P4/mmm (No. 123)
Asymmetric unit:
Hf: 0.000 0.500 0.000 (multiplicity 2)
Ag: 0.000 0.000 0.500 (multiplicity 1)
Mo: 0.500 0.500 0.500 (multiplicity 1)
Pb: 0.500 0.500 0.000 (multiplicity 1)

[3]
Material: HfZr2AgMo
Method: DFT, meta-GGA SCAN
State: single point on PBEsol structure

Computed properties:
total magnetization = 0.000 μB/f.u.
theoretical density = 7.80 g cm⁻³
E_form = 0.794 eV per atom
VASP energy = -186.35 eV per formula unit

Lattice parameters (Å, degrees): 4.906 4.906 4.996 90.00 90.00 90.00
Space group P4/mmm (No. 123)
Asymmetric unit:
Hf: 0.000 0.000 0.000 (multiplicity 1)
Zr: 0.000 0.500 0.500 (multiplicity 2)
Ag: 0.500 0.500 0.000 (multiplicity 1)
Mo: 0.000 0.000 0.500 (multiplicity 1)

[4]
Material: HfAgN2O
Method: DFT, meta-GGA SCAN
State: single point on PBEsol structure

Computed properties:
total magnetization = 0.000 μB/f.u.
ΔE_f (raw) = 0.635 eV per atom
theoretical density = 9.47 g cm⁻³
VASP energy = -115.68 eV per formula unit

Lattice parameters (Å, degrees): 3.905 3.905 3.800 90.00 90.00 90.00
Space group P4/mmm (No. 123)
Asymmetric unit:
Hf: 0.000 0.000 0.000 (multiplicity 1)
Ag: 0.500 0.500 0.500 (multiplicity 1)
N: 0.000 0.500 0.500 (multiplicity 2)
O: 0.500 0.500 0.000 (multiplicity 1)

[5]
Material: HfAgS2N
Method: DFT, meta-GGA SCAN
State: single point on PBEsol structure

Computed properties:
total magnetization = 0.000 μB/f.u.
energy above the lowest structure with this stoichiometry = 1072.4 meV per atom
ΔE_f (raw) = 0.840 eV per atom
theoretical density = 7.23 g cm⁻³
VASP energy = -118.39 eV per formula unit

Lattice parameters (Å, degrees): 4.636 4.636 3.895 90.00 90.00 90.00
Space group P4/mmm (No. 123)
Asymmetric unit:
Hf: 0.000 0.000 0.000 (multiplicity 1)
Ag: 0.500 0.500 0.500 (multiplicity 1)
S: 0.000 0.500 0.500 (multiplicity 2)
N: 0.500 0.500 0.000 (multiplicity 1)

[6]
Material: HfAgS2N
Method: DFT, meta-GGA SCAN
State: single point on PBEsol structure

Computed properties:
total magnetization = 1.911 μB/f.u.
energy above the lowest structure with this stoichiometry = 0.0 meV per atom
ΔE_f (raw) = -0.232 eV per atom
theoretical density = 6.06 g cm⁻³
VASP energy = -123.75 eV per formula unit

Lattice parameters (Å, degrees): 4.935 4.935 4.098 90.00 90.00 90.00
Space group P4/mmm (No. 123)
Asymmetric unit:
Hf: 0.000 0.000 0.000 (multiplicity 1)
Ag: 0.500 0.500 0.500 (multiplicity 1)
S: 0.000 0.500 0.000 (multiplicity 2)
N: 0.000 0.000 0.500 (multiplicity 1)

[7]
Material: HfAgTe2N
Method: DFT, meta-GGA SCAN
State: single point on PBEsol structure

Computed properties:
total magnetization = 0.001 μB/f.u.
ΔE_f (raw) = 0.084 eV per atom
theoretical density = 7.39 g cm⁻³
VASP energy = -177.41 eV per formula unit

Lattice parameters (Å, degrees): 5.659 5.659 3.897 90.00 90.00 90.00
Space group P4/mmm (No. 123)
Asymmetric unit:
Hf: 0.000 0.000 0.000 (multiplicity 1)
Ag: 0.500 0.500 0.500 (multiplicity 1)
Te: 0.000 0.500 0.000 (multiplicity 2)
N: 0.000 0.000 0.500 (multiplicity 1)

[8]
Material: Na2HfAg
Method: DFT, meta-GGA SCAN
State: single point on PBEsol structure

Computed properties:
total magnetization = 0.000 μB/f.u.
theoretical density = 6.43 g cm⁻³
E_form = 0.903 eV per atom
VASP energy = -98.86 eV per formula unit

Lattice parameters (Å, degrees): 7.002 7.002 7.002 90.00 90.00 90.00
Space group Fm-3m (No. 225)
Asymmetric unit:
Na: 0.250 0.250 0.250 (multiplicity 8)
Hf: 0.000 0.000 0.000 (multiplicity 4)
Ag: 0.000 0.000 0.500 (multiplicity 4)